Computed, not measured: Li2NiHgF6 after structural relaxation at the PBE+U level of DFT.

Its energy is -80.34 eV per cell. The crystal system is monoclinic.

a b c (Å): 5.4081 5.4159 9.7378
angles (deg): 90.00 123.23 90.00
With the nearest neighbours (Å) after each atom.
Space group P2_1/c (No. 14)
Asymmetric unit:
Li (0.2097, 0.0149, 0.2388) (multiplicity 4)  4 F 1.91-2.02
Ni (0.5000, 0.0000, 0.0000) (multiplicity 2)  6 F 2.01-2.08
Hg (0.0000, 0.0000, 0.5000) (multiplicity 2)  4 F 2.21-2.39
F (0.1397, 0.1352, 0.7802) (multiplicity 4)  2 Li 1.97-2.02, 1 Ni 2.08
F (0.2351, 0.6423, 0.5643) (multiplicity 4)  1 Li 1.97, 1 Ni 2.01
F (0.4707, 0.1829, 0.5980) (multiplicity 4)  1 Li 1.91, 1 Ni 2.01